Record 1
A plane-wave DFT calculation with PBE was carried out for a geometry-optimized Er2Al4SiPt3 structure.

Energy relative to the elements, uncorrected, kJ per mole of atoms: -92
Final energy, eV per cell: -57.20

a = 4.1026 Å, b = 4.1026 Å, c = 10.8193 Å
α = 90.00°, β = 90.00°, γ = 90.00°
Closest atoms and distances in Å follow each position.
Space group P-4m2 (No. 115)
One atom of each set of equivalent atoms:
Er: 0.0000 0.5000 0.2479  8 Al 3.14-3.41, 6 Pt 3.15-3.38, 2 Si 3.38
Al: 0.0000 0.0000 0.5000  4 Pt 2.53
Al: 0.0000 0.5000 0.8633  3 Pt 2.44-2.53, 2 Si 2.53
Al: 0.5000 0.5000 0.5000  4 Pt 2.53
Si: 0.5000 0.5000 0.0000  4 Al 2.53
Pt: 0.0000 0.0000 0.0000  4 Al 2.53
Pt: 0.0000 0.5000 0.6376  5 Al 2.44-2.53

Record 2
A plane-wave DFT calculation with PBE was carried out for a geometry-optimized CsAg6Te2 structure.

Energy relative to the elements, uncorrected, kJ per mole of atoms: -22
Final energy, eV per cell: -26.28

a = 4.6574 Å, b = 4.6574 Å, c = 10.9312 Å
α = 90.00°, β = 90.00°, γ = 90.00°
Closest atoms and distances in Å follow each position.
Space group P4/mmm (No. 123)
One atom of each set of equivalent atoms:
Cs: 0.0000 0.0000 0.0000  8 Te 3.91
Ag: 0.0000 0.0000 0.5000  8 Ag 2.89
Ag: 0.0000 0.5000 0.3438  2 Te 2.86, 4 Ag 2.89
Ag: 0.5000 0.5000 0.5000  8 Ag 2.89
Te: 0.5000 0.5000 0.1925  4 Ag 2.86

Record 3
A plane-wave DFT calculation with PBE was carried out for a geometry-optimized VTeRu structure.

Energy relative to the elements, uncorrected, kJ per mole of atoms: -11
Excess energy over the best structure of this formula in the dataset, eV/atom: 0.095
Final energy, eV per cell: -87.48

a = 6.0768 Å, b = 6.0768 Å, c = 6.0768 Å
α = 90.00°, β = 90.00°, γ = 90.00°
Closest atoms and distances in Å follow each position.
Space group F-43m (No. 216)
One atom of each set of equivalent atoms:
V: 0.0000 0.0000 0.0000  4 Ru 2.63
Te: 0.0000 0.0000 0.5000  4 Ru 2.63
Ru: 0.2500 0.2500 0.7500  4 Te 2.63, 4 V 2.63

Record 4
A plane-wave DFT calculation with PBE was carried out for a geometry-optimized SnSb3C structure.

Energy relative to the elements, uncorrected, kJ per mole of atoms: 83
Excess energy over the best structure of this formula in the dataset, eV/atom: 0.000
Final energy, eV per cell: -21.30

a = 4.8699 Å, b = 4.8699 Å, c = 4.8699 Å
α = 90.00°, β = 90.00°, γ = 90.00°
Closest atoms and distances in Å follow each position.
Space group Pm-3m (No. 221)
One atom of each set of equivalent atoms:
Sn: 0.0000 0.0000 0.0000  12 Sb 3.44
Sb: 0.0000 0.5000 0.5000  2 C 2.43
C: 0.5000 0.5000 0.5000  6 Sb 2.43

Record 5
A plane-wave DFT calculation with PBE was carried out for a geometry-optimized Er12TmAl3 structure.

E_form, eV/f.u.: -2.09
Final energy, eV per cell: -72.55

a = 4.7522 Å, b = 4.7522 Å, c = 19.2946 Å
α = 90.00°, β = 90.00°, γ = 90.00°
Closest atoms and distances in Å follow each position.
Space group P4/mmm (No. 123)
One atom of each set of equivalent atoms:
Er: 0.0000 0.0000 0.0000  8 Er 3.34, 4 Al 3.36
Er: 0.0000 0.0000 0.2432  8 Er 3.34-3.36, 4 Al 3.36
Er: 0.0000 0.0000 0.5000  4 Tm 3.36, 8 Er 3.50
Er: 0.0000 0.5000 0.1218  4 Al 3.33-3.34, 8 Er 3.34-3.36
Er: 0.0000 0.5000 0.3665  8 Er 3.36-3.50, 2 Al 3.37, 2 Tm 3.50
Tm: 0.5000 0.5000 0.5000  12 Er 3.36-3.50
Al: 0.5000 0.5000 0.0000  12 Er 3.34-3.36
Al: 0.5000 0.5000 0.2424  12 Er 3.33-3.37

Record 6
A plane-wave DFT calculation with PBE was carried out for a geometry-optimized AcTm2MgTl4 structure.

E_form, eV/f.u.: -2.05
Final energy, eV per cell: -78.48

a = 5.1783 Å, b = 5.1783 Å, c = 29.8447 Å
α = 90.00°, β = 90.00°, γ = 120.00°
Closest atoms and distances in Å follow each position.
Space group R-3m (No. 166, hexagonal axes)
One atom of each set of equivalent atoms:
Ac: 0.0000 0.0000 0.0000  8 Tl 3.46-3.82
Tm: 0.0000 0.0000 0.2352  7 Tl 3.12-3.22
Mg: 0.0000 0.0000 0.5000  8 Tl 3.21-3.24
Tl: 0.0000 0.0000 0.1279  4 Tm 3.12-3.20, 3 Mg 3.21
Tl: 0.0000 0.0000 0.3914  3 Tm 3.22, 1 Mg 3.24, 3 Ac 3.46